A relaxed structure of CeNi2Rh, computed with PBE.

Geometry as CIF:
```
data_CeNi2Rh
_symmetry_space_group_name_H-M 'R -3 m'
_symmetry_Int_Tables_number 166
_symmetry_space_group_name_Hall '-R 3 2"'
_cell_length_a 4.2870
_cell_length_b 4.2870
_cell_length_c 13.0184
_cell_angle_alpha 90.00
_cell_angle_beta 90.00
_cell_angle_gamma 120.00
loop_
_atom_site_label
_atom_site_fract_x
_atom_site_fract_y
_atom_site_fract_z
Ce1 0.0000 0.0000 0.0000
Ni1 0.0000 0.0000 0.1956
Rh1 0.0000 0.0000 0.5000
```

Properties
Its crystal system is trigonal. The energy relative to the elements is -347 meV/atom.